A plane-wave DFT calculation with PBE was carried out for a geometry-optimized RbCrCl3 structure.

```
data_RbCrCl3
_symmetry_space_group_name_H-M 'I -4 m 2'
_symmetry_Int_Tables_number 119
_symmetry_space_group_name_Hall 'I -4 -2'
_cell_length_a 6.416
_cell_length_b 6.416
_cell_length_c 14.440
_cell_angle_alpha 90.00
_cell_angle_beta 90.00
_cell_angle_gamma 90.00
loop_
_atom_site_label
_atom_site_fract_x
_atom_site_fract_y
_atom_site_fract_z
_atom_site_occupancy
Rb1 0.000 0.000 0.131 1
Cr1 0.000 0.000 0.500 1
Cr2 0.000 0.500 0.250 1
Cl1 0.000 0.240 0.356 1
Cl2 0.000 0.500 0.566 1
```

Calculated values
E_tot ... -4.260 eV per atom